Record 1
The following is a PBE-GGA calculation of Dy4InHg3 after structural relaxation, from the Alexandria database.

Cell: 8.390 8.386 5.267 Å, 71.74 71.67 36.60°
Sites, in units of the cell vectors:
Dy  0.126  0.126  0.374
Dy  0.374  0.374  0.126
Dy  0.626  0.626  0.874
Dy  0.874  0.874  0.626
In  0.000  0.000  0.000
Hg  0.251  0.251  0.749
Hg  0.500  0.500  0.500
Hg  0.749  0.749  0.251

## Properties
calculated density	10.88	g/cm3
spin magnetization	0.00	μB/f.u.

***

Record 2
The following is a PBE-GGA calculation of DyIn2Hg9 after structural relaxation, from the Alexandria database.

Cell: 4.917 4.917 12.592 Å, 90.00 90.00 90.00°
Sites, in units of the cell vectors:
Dy  0.000  0.000  0.000
In  0.000  0.000  0.327
In  0.000  0.000  0.673
Hg  0.000  0.500  0.163
Hg  0.000  0.500  0.500
Hg  0.000  0.500  0.837
Hg  0.500  0.000  0.163
Hg  0.500  0.000  0.500
Hg  0.500  0.000  0.837
Hg  0.500  0.500  0.000
Hg  0.500  0.500  0.333
Hg  0.500  0.500  0.667

## Properties
calculated density	11.98	g/cm3
spin magnetization	0.00	μB/f.u.

***

Record 3
The following is a PBE-GGA calculation of DyInHg6 after structural relaxation, from the Alexandria database.

Cell: 4.801 4.801 8.632 Å, 90.00 90.00 90.00°
Sites, in units of the cell vectors:
Dy  0.000  0.000  0.000
In  0.000  0.000  0.500
Hg  0.000  0.500  0.249
Hg  0.000  0.500  0.751
Hg  0.500  0.000  0.249
Hg  0.500  0.000  0.751
Hg  0.500  0.500  0.000
Hg  0.500  0.500  0.500

## Properties
calculated density	12.36	g/cm3
spin magnetization	0.00	μB/f.u.
energy relative to the lowest polymorph listed for this composition	0.0	kJ per mole of atoms

***

Number 1: energy relative to the elements -473 meV per atom. Number 2: energy relative to the elements -89 meV per atom. Number 3: energy relative to the elements -160 meV per atom.